# FeNiAu2O

An optimized crystal structure of FeNiAu2O (PBE with a Hubbard U, the Alexandria database).

Cell: 4.8026 4.8026 4.5543 Å, 90.00 90.00 90.00°
Last column: nearest neighbours and their distance in Å.
Space group P4/mmm (No. 123)
One atom of each set of equivalent atoms:
Fe 0.0000 0.0000 0.0000  2 Ni 2.28, 4 Au 2.40
Ni 0.0000 0.0000 0.5000  2 Fe 2.28
Au 0.0000 0.5000 0.0000  2 Fe 2.40
O 0.5000 0.5000 0.5000  8 Au 3.31, 4 Ni 3.40

Values from the calculation:
Its total energy is -12.27 eV for the cell shown.